The following is a DFT calculation (PBE-GGA) of a relaxed structure of Mn2PtAu.

Cell and atoms, written as POSCAR:
```
Mn2PtAu
1.0
-0.0243 1.5551 -4.3737
0.0115 -1.3604 -4.4381
-4.9457 -0.0397 -0.9453
Au Mn Pt
1 2 1
Direct
0.2500 0.2500 0.2500
0.0024 0.0024 0.9925
0.4976 0.4976 0.5075
0.7500 0.7500 0.7500
```

Output
Spin magnetization   8.08 Bohr magnetons per cell
Formation energy   -5 meV/atom
Fermi-level density of states   2.17 states/eV/cell
SG   C2/m, No. 12
E above lowest polymorph   66 kJ/mol of formula units